Record 1
A relaxed structure of ScSiSn, computed with PBE.

Lattice parameters (Å, degrees): 3.754 3.754 5.309 90.00 90.00 90.00
Fractional positions:
Sc (0.000, 0.000, 0.000)
Sn (0.500, 0.500, 0.500)
Si (0.500, 0.500, 0.000)

Output
SG = No. 123
total moment = 0.000 μB per formula unit
electronic total energy = -5.33 eV per atom
N(E_F) = 2.22 states/eV/f.u.
crystal system = tetragonal

Record 2
A relaxed structure of Sc5Si2Sn, computed with PBE.

Lattice parameters (Å, degrees): 7.233 7.233 8.190 116.21 116.21 90.00
Fractional positions:
Sc (0.522, 0.697, 0.719)
Sc (0.803, 0.978, 0.281)
Sc (0.000, 0.000, 0.000)
Sc (0.500, 0.500, 0.000)
Sc (0.197, 0.022, 0.719)
Sc (0.697, 0.197, 0.719)
Sc (0.022, 0.522, 0.719)
Sc (0.303, 0.803, 0.281)
Sc (0.978, 0.478, 0.281)
Sc (0.478, 0.303, 0.281)
Si (0.134, 0.366, 0.000)
Si (0.634, 0.134, 0.000)
Si (0.366, 0.866, 0.000)
Si (0.866, 0.634, 0.000)
Sn (0.750, 0.750, 0.500)
Sn (0.250, 0.250, 0.500)

Output
SG = No. 140
total moment = 0.015 μB per formula unit
electronic total energy = -6.53 eV per atom
N(E_F) = 8.64 states/eV/f.u.
crystal system = tetragonal

Record 3
A relaxed structure of Sc2SiSn2, computed with PBE.

Lattice parameters (Å, degrees): 7.100 7.100 4.511 90.00 90.00 90.00
Fractional positions:
Sc (0.334, 0.834, 0.000)
Sc (0.834, 0.666, 0.000)
Sc (0.666, 0.166, 0.000)
Sc (0.166, 0.334, 0.000)
Si (0.000, 0.000, 0.000)
Si (0.500, 0.500, 0.000)
Sn (0.148, 0.648, 0.500)
Sn (0.648, 0.852, 0.500)
Sn (0.852, 0.352, 0.500)
Sn (0.352, 0.148, 0.500)

Output
SG = No. 127
total moment = 0.000 μB per formula unit
electronic total energy = -5.64 eV per atom
N(E_F) = 1.53 states/eV/f.u.
crystal system = tetragonal
excess energy over the best structure of this formula in the dataset = 0.0 meV/atom

Record 4
A relaxed structure of ScSi3Sn, computed with PBE.

Lattice parameters (Å, degrees): 5.073 5.073 5.073 90.00 90.00 90.00
Fractional positions:
Sc (0.500, 0.500, 0.500)
Si (0.000, 0.500, 0.000)
Si (0.000, 0.000, 0.500)
Si (0.500, 0.000, 0.000)
Sn (0.000, 0.000, 0.000)

Output
SG = No. 221
total moment = 0.000 μB per formula unit
electronic total energy = -4.23 eV per atom
N(E_F) = 5.52 states/eV/f.u.
crystal system = cubic
excess energy over the best structure of this formula in the dataset = 325.6 meV/atom

Record 5
A relaxed structure of Sc5Si2Sn2, computed with PBE.

Lattice parameters (Å, degrees): 7.363 7.284 8.076 90.00 62.88 90.00
Fractional positions:
Sc (0.000, 0.000, 0.000)
Sc (0.500, 0.500, 0.000)
Sc (0.451, 0.174, 0.752)
Sc (0.798, 0.826, 0.752)
Sc (0.298, 0.674, 0.752)
Sc (0.951, 0.326, 0.752)
Sc (0.549, 0.826, 0.248)
Sc (0.202, 0.174, 0.248)
Sc (0.702, 0.326, 0.248)
Sc (0.049, 0.674, 0.248)
Si (0.126, 0.374, 0.000)
Si (0.874, 0.626, 0.000)
Si (0.374, 0.874, 0.000)
Si (0.626, 0.126, 0.000)
Sn (0.215, 0.000, 0.570)
Sn (0.715, 0.500, 0.570)
Sn (0.785, 0.000, 0.430)
Sn (0.285, 0.500, 0.430)

Output
SG = No. 64
total moment = 0.000 μB per formula unit
electronic total energy = -6.34 eV per atom
N(E_F) = 4.48 states/eV/f.u.
crystal system = orthorhombic

Record 6
A relaxed structure of ScSi3Sn, computed with PBE.

Lattice parameters (Å, degrees): 5.023 5.023 5.023 90.00 90.00 90.00
Fractional positions:
Sc (0.000, 0.000, 0.000)
Si (0.000, 0.500, 0.000)
Si (0.000, 0.000, 0.500)
Si (0.500, 0.000, 0.000)
Sn (0.500, 0.500, 0.500)

Output
SG = No. 221
total moment = 0.000 μB per formula unit
electronic total energy = -4.56 eV per atom
N(E_F) = 2.16 states/eV/f.u.
crystal system = cubic
excess energy over the best structure of this formula in the dataset = 0.0 meV/atom

Record 7
A relaxed structure of Sc4SiSn2, computed with PBE.

Lattice parameters (Å, degrees): 4.836 4.836 8.316 73.09 73.09 90.00
Fractional positions:
Sc (0.171, 0.171, 0.658)
Sc (0.829, 0.829, 0.342)
Sc (0.000, 0.500, 0.000)
Sc (0.500, 0.000, 0.000)
Si (0.000, 0.000, 0.000)
Sn (0.365, 0.365, 0.271)
Sn (0.635, 0.635, 0.729)

Output
SG = No. 139
total moment = 0.000 μB per formula unit
electronic total energy = -5.98 eV per atom
N(E_F) = 2.20 states/eV/f.u.
crystal system = tetragonal

Record 8
A relaxed structure of Sc2SiSn, computed with PBE.

Lattice parameters (Å, degrees): 4.902 4.902 4.902 60.00 60.00 60.00
Fractional positions:
Sc (0.250, 0.250, 0.250)
Sc (0.750, 0.750, 0.750)
Si (0.000, 0.000, 0.000)
Sn (0.500, 0.500, 0.500)

Output
SG = No. 225
total moment = 0.000 μB per formula unit
electronic total energy = -5.89 eV per atom
N(E_F) = 5.56 states/eV/f.u.
crystal system = cubic

Repeat the third record exactly.
A relaxed structure of Sc2SiSn2, computed with PBE.

Lattice parameters (Å, degrees): 7.100 7.100 4.511 90.00 90.00 90.00
Fractional positions:
Sc (0.334, 0.834, 0.000)
Sc (0.834, 0.666, 0.000)
Sc (0.666, 0.166, 0.000)
Sc (0.166, 0.334, 0.000)
Si (0.000, 0.000, 0.000)
Si (0.500, 0.500, 0.000)
Sn (0.148, 0.648, 0.500)
Sn (0.648, 0.852, 0.500)
Sn (0.852, 0.352, 0.500)
Sn (0.352, 0.148, 0.500)

Output
SG = No. 127
total moment = 0.000 μB per formula unit
electronic total energy = -5.64 eV per atom
N(E_F) = 1.53 states/eV/f.u.
crystal system = tetragonal
excess energy over the best structure of this formula in the dataset = 0.0 meV/atom

Q: Which of these has the lowest electronic total energy?
A: Sc5Si2Sn

Q: N(E_F) of number 6 (ScSi3Sn)?
A: 2.16 states/eV/f.u.

Q: Which of these has the highest electronic total energy?
A: number 4